No. 1
# Y3Te2P (PBE, relaxed)
data_Y3Te2P
_chemical_formula_sum 'Y12 Te8 P4'
_symmetry_space_group_name_H-M 'C 1 2/c 1'
_symmetry_Int_Tables_number 15
_cell_length_a 7.528
_cell_length_b 12.692
_cell_length_c 7.261
_cell_angle_alpha 90.00
_cell_angle_beta 109.68
_cell_angle_gamma 90.00
loop_
_symmetry_equiv_pos_as_xyz
'x,y,z'
'-x,-y,-z'
'-x,y,-z+1/2'
'x,-y,z+1/2'
'x+1/2,y+1/2,z'
'-x+1/2,-y+1/2,-z'
'-x+1/2,y+1/2,-z+1/2'
'x+1/2,-y+1/2,z+1/2'
loop_
_atom_site_label
_atom_site_type_symbol
_atom_site_fract_x
_atom_site_fract_y
_atom_site_fract_z
Y1 Y 0.204 0.071 0.493
Y2 Y 0.250 0.250 0.000
Te1 Te 0.000 0.262 0.250
Te2 Te 0.000 0.421 0.750
P1 P 0.000 0.091 0.750
# offset from the most stable computed form: 0.0344 eV/atom
# formation energy (no corrections): -1.46 eV per atom

=====

No. 2
# MgCr2In (PBE, relaxed)
data_MgCr2In
_chemical_formula_sum 'Mg1 Cr2 In1'
_symmetry_space_group_name_H-M 'P 4/m m m'
_symmetry_Int_Tables_number 123
_symmetry_space_group_name_Hall '-P 4 2'
_cell_length_a 3.335
_cell_length_b 3.335
_cell_length_c 6.491
_cell_angle_alpha 90.00
_cell_angle_beta 90.00
_cell_angle_gamma 90.00
loop_
_atom_site_label
_atom_site_type_symbol
_atom_site_fract_x
_atom_site_fract_y
_atom_site_fract_z
Mg1 Mg 0.000 0.000 0.000
Cr1 Cr 0.500 0.500 0.248
In1 In 0.000 0.000 0.500
# ΔH_f (0 K): 444 meV per atom

=====

No. 3
# GdYS2 (PBE, relaxed)
data_GdYS2
_chemical_formula_sum 'Gd3 Y3 S6'
_symmetry_space_group_name_H-M 'R -3 m'
_symmetry_Int_Tables_number 166
_symmetry_space_group_name_Hall '-R 3 2"'
_cell_length_a 3.9444
_cell_length_b 3.9444
_cell_length_c 19.2621
_cell_angle_alpha 90.00
_cell_angle_beta 90.00
_cell_angle_gamma 120.00
loop_
_atom_site_label
_atom_site_type_symbol
_atom_site_fract_x
_atom_site_fract_y
_atom_site_fract_z
Gd1 Gd 0.0000 0.0000 0.0000
Y1 Y 0.0000 0.0000 0.5000
S1 S 0.0000 0.0000 0.2489
# formation energy (no corrections): -2.04 eV per atom

=====

No. 4
# Y2AlSi (PBE, relaxed)
data_Y2AlSi
_chemical_formula_sum 'Y6 Al3 Si3'
_symmetry_space_group_name_H-M 'R -3 m'
_symmetry_Int_Tables_number 166
_symmetry_space_group_name_Hall '-R 3 2"'
_cell_length_a 3.7520
_cell_length_b 3.7520
_cell_length_c 25.0013
_cell_angle_alpha 90.00
_cell_angle_beta 90.00
_cell_angle_gamma 120.00
loop_
_atom_site_label
_atom_site_type_symbol
_atom_site_fract_x
_atom_site_fract_y
_atom_site_fract_z
Y1 Y 0.0000 0.0000 0.2424
Al1 Al 0.0000 0.0000 0.0000
Si1 Si 0.0000 0.0000 0.5000
# formation energy (no corrections): -0.29 eV per atom

=====

No. 5
# Ac2Mg5Cd4 (PBE, relaxed)
data_Ac2Mg5Cd4
_chemical_formula_sum 'Ac4 Mg10 Cd8'
_symmetry_space_group_name_H-M 'I m m m'
_symmetry_Int_Tables_number 71
_symmetry_space_group_name_Hall '-I 2 2'
_cell_length_a 6.231
_cell_length_b 9.650
_cell_length_c 9.972
_cell_angle_alpha 90.00
_cell_angle_beta 90.00
_cell_angle_gamma 90.00
loop_
_atom_site_label
_atom_site_type_symbol
_atom_site_fract_x
_atom_site_fract_y
_atom_site_fract_z
Ac1 Ac 0.000 0.000 0.208
Mg1 Mg 0.000 0.500 0.500
Mg2 Mg 0.247 0.204 0.500
Cd1 Cd 0.000 0.341 0.252
# ΔH_f (0 K): -172 meV per atom